# 1
First-principles (GGA-PBE) data for a relaxed structure of Pm5Y8In, as listed in the Alexandria database.

Properties
Its calculated formation energy is 0.167 eV/atom.

Lattice parameters (Å, degrees): 8.4823 8.4823 8.4823 110.44 110.44 107.55
With the nearest neighbours (Å) after each atom.
Sites, in units of the cell vectors:
Pm: 0.0000 0.0000 0.0000  8 Y 3.16-3.35
Pm: 0.3206 0.6337 0.1117  8 Y 3.36-3.65, 2 Pm 3.58
Pm: 0.3663 0.4780 0.6869  8 Y 3.36-3.65, 2 Pm 3.58
Pm: 0.5220 0.2089 0.8883  8 Y 3.36-3.65, 2 Pm 3.58
Pm: 0.7911 0.6794 0.3131  8 Y 3.36-3.65, 2 Pm 3.58
Y: 0.0242 0.4180 0.2555  5 Pm 3.35-3.65, 3 Y 3.64-3.75
Y: 0.0570 0.1633 0.7305  1 In 3.12, 3 Pm 3.16-3.45
Y: 0.1625 0.7687 0.7445  5 Pm 3.35-3.65, 3 Y 3.64-3.75
Y: 0.2313 0.9758 0.3938  5 Pm 3.35-3.65, 3 Y 3.64-3.75
Y: 0.4328 0.3265 0.2695  1 In 3.12, 3 Pm 3.16-3.45
Y: 0.5820 0.8375 0.6062  5 Pm 3.35-3.65, 3 Y 3.64-3.75
Y: 0.6735 0.9430 0.1063  1 In 3.12, 3 Pm 3.16-3.45
Y: 0.8367 0.5672 0.8937  1 In 3.12, 3 Pm 3.16-3.45
In: 0.7500 0.2500 0.5000  4 Y 3.12

=====

# 2
First-principles (GGA-PBE) data for a relaxed structure of CrSnSe2, as listed in the Alexandria database.

Properties
As for the formation energy from raw total energies: -0.188 eV/atom.

Lattice parameters (Å, degrees): 7.5356 7.5356 7.5356 130.93 130.93 71.92
With the nearest neighbours (Å) after each atom.
Sites, in units of the cell vectors:
Cr: 0.0000 0.0000 0.0000  4 Se 2.51
Cr: 0.7500 0.2500 0.5000  4 Se 2.51
Sn: 0.2500 0.7500 0.5000  4 Se 2.90
Sn: 0.5000 0.5000 0.0000  4 Se 2.90
Se: 0.0709 0.6250 0.9459  2 Cr 2.51
Se: 0.3750 0.3209 0.4459  2 Cr 2.51
Se: 0.6791 0.1250 0.0541  2 Cr 2.51
Se: 0.8750 0.9291 0.5541  2 Cr 2.51

=====

# 3
First-principles (GGA-PBE) data for a relaxed structure of LiZr2Br, as listed in the Alexandria database.

Properties
As for the formation energy from raw total energies: -0.364 eV/atom. The energy above the most stable polymorph in this dataset is 0.0 meV/atom.

Lattice parameters (Å, degrees): 3.2594 8.8298 8.8298 21.30 90.00 90.00
With the nearest neighbours (Å) after each atom.
Sites, in units of the cell vectors:
Li: 0.0000 0.0000 0.0000  4 Br 2.72
Zr: 0.0000 0.7247 0.7247  2 Br 2.95, 8 Zr 3.09-3.26
Zr: 0.5000 0.3433 0.3433  8 Zr 3.09-3.26
Br: 0.5000 0.5833 0.5833  4 Li 2.72, 2 Zr 2.95

=====

# 4
First-principles (GGA-PBE) data for a relaxed structure of ZnCrCl2, as listed in the Alexandria database.

Properties
As for the formation energy from raw total energies: -0.483 eV/atom. The energy above the most stable polymorph in this dataset is 0.0 meV/atom.

Lattice parameters (Å, degrees): 8.8176 8.8176 8.8176 22.78 22.78 22.78
With the nearest neighbours (Å) after each atom.
Sites, in units of the cell vectors:
Zn: 0.0000 0.0000 0.0000  3 Cl 2.48
Cr: 0.2568 0.2568 0.2568  3 Cl 2.47
Cl: 0.5346 0.5346 0.5346  3 Cr 2.47
Cl: 0.7231 0.7231 0.7231  3 Zn 2.48

=====

# 5
First-principles (GGA-PBE) data for a relaxed structure of Ac4SiP3, as listed in the Alexandria database.

Properties
As for the formation energy from raw total energies: -1.154 eV/atom.

Lattice parameters (Å, degrees): 6.3300 6.3300 6.3300 90.00 90.00 90.00
With the nearest neighbours (Å) after each atom.
Sites, in units of the cell vectors:
Ac: 0.0000 0.0000 0.0000  6 P 3.17
Ac: 0.0000 0.5000 0.5000  2 Si 3.17, 4 P 3.17
Ac: 0.5000 0.0000 0.5000  2 Si 3.17, 4 P 3.17
Ac: 0.5000 0.5000 0.0000  2 Si 3.17, 4 P 3.17
Si: 0.5000 0.5000 0.5000  6 Ac 3.17
P: 0.0000 0.0000 0.5000  6 Ac 3.17
P: 0.0000 0.5000 0.0000  6 Ac 3.17
P: 0.5000 0.0000 0.0000  6 Ac 3.17

=====

# 6
First-principles (GGA-PBE) data for a relaxed structure of Cd2Ga2Se, as listed in the Alexandria database.

Properties
As for the formation energy from raw total energies: 0.037 eV/atom.

Lattice parameters (Å, degrees): 7.2366 7.2366 4.3667 90.00 90.00 90.00
With the nearest neighbours (Å) after each atom.
Sites, in units of the cell vectors:
Cd: 0.1724 0.3276 0.0000  6 Ga 2.94-3.13
Cd: 0.3276 0.8276 0.0000  6 Ga 2.94-3.13
Cd: 0.6724 0.1724 0.0000  6 Ga 2.94-3.13
Cd: 0.8276 0.6724 0.0000  6 Ga 2.94-3.13
Ga: 0.1355 0.6355 0.5000  1 Ga 2.77, 2 Se 2.81, 2 Cd 2.94
Ga: 0.3645 0.1355 0.5000  1 Ga 2.77, 2 Se 2.81, 2 Cd 2.94
Ga: 0.6355 0.8645 0.5000  1 Ga 2.77, 2 Se 2.81, 2 Cd 2.94
Ga: 0.8645 0.3645 0.5000  1 Ga 2.77, 2 Se 2.81, 2 Cd 2.94
Se: 0.0000 0.0000 0.5000  4 Ga 2.81
Se: 0.5000 0.5000 0.5000  4 Ga 2.81